The following is a PBE+U calculation of crystalline Nd4CoO7 at its relaxed geometry, from Alexandria via LeMat-Bulk.

abc: 13.1680 3.9860 9.2195
angles: 90.00 133.19 90.00
Closest atoms and distances in Å follow each position.
Space group C2/m (No. 12)
Inequivalent atoms, fractional coordinates:
1 Nd 0.0847 0.0000 0.3907 x4  5 O 2.34-2.47
2 Nd 0.2447 0.0000 0.1539 x4  4 O 2.28-2.48
3 Co 0.0000 0.5000 0.0000 x2  4 O 1.93-1.99
4 O 0.0000 0.0000 0.0000 x2  2 Co 1.99
5 O 0.0882 0.5000 0.8978 x4  1 Co 1.93
6 O 0.1319 0.0000 0.6967 x4  4 Nd 2.33-2.44
7 O 0.2040 0.5000 0.5550 x4  4 Nd 2.28-2.47

Properties
Its density of states at the Fermi level is 0.15 states/eV/f.u. The crystal system is monoclinic. The total energy comes out at -7.8031 eV per atom. The size of the total moment comes out at 2.0 μB/f.u.